(1)
Sr2AgW after structural relaxation. Source: the Alexandria database, functional PBE.

Unit cell a=6.827 b=6.827 c=6.827 alpha=152.26 beta=131.80 gamma=56.52
Fractional coordinates of all 4 atoms:
Ag (0.719, 0.219, 0.500)
Sr (0.974, 0.974, 0.000)
Sr (0.274, 0.774, 0.500)
W (0.533, 0.533, 0.000)

Values from the calculation:
As for the space group: Imm2 (44).

(2)
SrAgW2 after structural relaxation. Source: the Alexandria database, functional PBE.

Unit cell a=2.730 b=5.345 c=5.567 alpha=90.00 beta=90.00 gamma=90.00
Fractional coordinates of all 4 atoms:
Ag (0.500, 0.500, 0.250)
Sr (0.500, 0.500, 0.750)
W (0.000, 0.000, 0.995)
W (0.000, 0.000, 0.505)

Values from the calculation:
As for the space group: Pmmm (47).

Relative energy among the computed polymorphs / meV/atom: 56, 573
E_form / eV/f.u.: 3.30, 4.68